Computed, not measured: a relaxed structure of LiCu at the PBE-GGA level of DFT.

POSCAR file:
```
LiCu
1.0
-2.7281 1.2051 1.7023
-2.8288 0.9157 -1.7180
-2.8487 -1.9019 0.2448
Cu Li
1 1
direct
0.0000 0.0000 0.0000
0.5000 0.5000 0.5000
```

* total DFT energy (no corrections): -4.98 eV per cell
* mass density: 4.088 g cm⁻³

---

Computed, not measured: a relaxed structure of ErZr2 at the PBE-GGA level of DFT.

POSCAR file:
```
ErZr2
1.0
0.0000 5.8696 5.8696
5.8696 0.0000 5.8696
5.8696 5.8696 0.0000
Zr Er
4 2
direct
0.1250 0.1250 0.1250
0.6250 0.1250 0.1250
0.1250 0.6250 0.1250
0.1250 0.1250 0.6250
0.2500 0.2500 0.2500
0.0000 0.0000 0.0000
```

* total DFT energy (no corrections): -23.18 eV per cell
* mass density: 2.872 g cm⁻³
* formation energy: 3.36 eV per atom
* size of the total moment: 0.06 μB per cell

---

Computed, not measured: a relaxed structure of Mg6Tl2Ir at the PBE-GGA level of DFT.

POSCAR file:
```
Mg6Tl2Ir
1.0
8.1399 0.0000 0.0000
-4.0699 7.0493 0.0000
0.0000 0.0000 3.3355
Mg Ir Tl
6 1 2
direct
0.7414 0.0000 0.5000
0.3509 0.0000 0.0000
0.2586 0.2586 0.5000
0.6491 0.6491 0.0000
0.0000 0.7414 0.5000
0.0000 0.3509 0.0000
0.0000 0.0000 0.0000
0.6667 0.3333 0.5000
0.3333 0.6667 0.5000
```

* total DFT energy (no corrections): -24.44 eV per cell
* mass density: 6.479 g cm⁻³
* size of the total moment: 0.00 μB per cell

---

Computed, not measured: a relaxed structure of GdGaAu2 at the PBE-GGA level of DFT.

POSCAR file:
```
GdGaAu2
1.0
4.6506 0.0000 0.0000
0.0000 4.6369 0.0000
0.0000 0.0000 7.9479
Gd Ga Au
2 2 4
direct
0.5000 0.5186 0.7353
0.5000 0.4814 0.2353
0.0000 0.0656 0.7904
0.0000 0.9344 0.2904
0.0000 0.5839 0.9932
0.5000 0.0115 0.9811
0.0000 0.4161 0.4932
0.5000 0.9885 0.4811
```

* total DFT energy (no corrections): -32.90 eV per cell
* mass density: 12.031 g cm⁻³
* size of the total moment: 0.01 μB per cell

---

Computed, not measured: a relaxed structure of SrNdBe at the PBE-GGA level of DFT.

POSCAR file:
```
SrNdBe
1.0
1.8339 -3.4370 3.3199
-1.5993 -4.8580 -0.2002
3.1758 -3.6754 -1.6137
Be Sr Nd
1 1 1
direct
0.0000 0.0000 0.0000
0.7500 0.7500 0.7500
0.2500 0.2500 0.2500
```

* total DFT energy (no corrections): -8.77 eV per cell
* mass density: 4.218 g cm⁻³
* size of the total moment: 0.01 μB per cell

---

Computed, not measured: a relaxed structure of LiCu8 at the PBE-GGA level of DFT.

POSCAR file:
```
LiCu8
1.0
-2.8625 -3.2646 0.8749
2.6306 -3.4955 -0.6999
2.0324 -1.3709 5.1505
Cu Li
8 1
direct
0.4431 0.7275 0.6098
0.6634 0.8298 0.1682
0.8880 0.9468 0.7255
0.3366 0.1702 0.8318
0.2230 0.6119 0.0499
0.1120 0.0532 0.2745
0.5569 0.2725 0.3902
0.7770 0.3881 0.9501
0.0000 0.5000 0.5000
```

* total DFT energy (no corrections): -31.84 eV per cell
* mass density: 8.056 g cm⁻³

---

Computed, not measured: a relaxed structure of BaErB at the PBE-GGA level of DFT.

POSCAR file:
```
BaErB
1.0
0.0000 3.4273 3.4273
3.4273 0.0000 3.4273
3.4273 3.4273 0.0000
Er B Ba
1 1 1
direct
0.7500 0.7500 0.7500
0.0000 0.0000 0.0000
0.2500 0.2500 0.2500
```

* total DFT energy (no corrections): -11.27 eV per cell
* mass density: 6.504 g cm⁻³
* E above lowest polymorph: 0.0 kJ/mol of atoms
* size of the total moment: 0.00 μB per cell

---

Computed, not measured: a relaxed structure of NaSmPt4 at the PBE-GGA level of DFT.

POSCAR file:
```
NaSmPt4
1.0
0.0000 3.8324 3.8324
3.8324 0.0000 3.8324
3.8324 3.8324 0.0000
Sm Pt Na
1 4 1
direct
0.2500 0.2500 0.2500
0.6253 0.6253 0.1240
0.6253 0.1240 0.6253
0.6253 0.6253 0.6253
0.1240 0.6253 0.6253
0.0000 0.0000 0.0000
```

* total DFT energy (no corrections): -35.18 eV per cell
* mass density: 14.068 g cm⁻³
* size of the total moment: 0.01 μB per cell

---

Computed, not measured: a relaxed structure of CoGe3 at the PBE-GGA level of DFT.

POSCAR file:
```
CoGe3
1.0
3.9912 0.0000 0.0000
0.0000 3.9912 0.0000
0.0000 0.0000 3.9912
Ge Co
3 1
direct
0.5000 0.0000 0.5000
0.5000 0.5000 0.0000
0.0000 0.5000 0.5000
0.0000 0.0000 0.0000
```

* total DFT energy (no corrections): -19.35 eV per cell
* mass density: 7.231 g cm⁻³
* size of the total moment: 0.85 μB per cell

---

Computed, not measured: a relaxed structure of Pt11W3 at the PBE-GGA level of DFT.

POSCAR file:
```
Pt11W3
1.0
-3.1277 3.2570 -0.7451
-0.9268 -3.0650 -9.5072
-2.5914 -0.2724 9.6876
Pt W
11 3
direct
0.5000 0.2980 0.0156
0.5000 0.4583 0.8823
0.0000 0.5535 0.1244
0.5000 0.0156 0.2980
0.0000 0.4090 0.2671
0.5000 0.7383 0.5974
0.5000 0.5974 0.7383
0.0000 0.8544 0.8544
0.0000 0.1244 0.5535
0.0000 0.2671 0.4090
0.5000 0.8823 0.4583
0.0000 0.6924 0.9809
0.5000 0.1683 0.1683
0.0000 0.9809 0.6924
```

* total DFT energy (no corrections): -109.04 eV per cell
* mass density: 20.719 g cm⁻³
* formation energy: -0.25 eV per atom
* size of the total moment: 0.00 μB per cell

---

Computed, not measured: a relaxed structure of Ba2AsPd2 at the PBE-GGA level of DFT.

POSCAR file:
```
Ba2AsPd2
1.0
-1.0254 -4.0937 8.1433
-2.1999 2.9917 6.4466
-5.4704 -4.4441 2.1878
Ba As Pd
4 2 4
direct
0.4218 0.4218 0.0782
0.8282 0.8282 0.1718
0.1718 0.1718 0.8282
0.0782 0.0782 0.4218
0.5000 0.5000 0.5000
0.7500 0.7500 0.7500
0.1250 0.6250 0.6250
0.6250 0.6250 0.6250
0.6250 0.6250 0.1250
0.6250 0.1250 0.6250
```

* total DFT energy (no corrections): -43.24 eV per cell
* mass density: 6.196 g cm⁻³

---

Computed, not measured: a relaxed structure of Dy2Ho2CI3Cl2 at the PBE-GGA level of DFT.

POSCAR file:
```
Dy2Ho2CI3Cl2
1.0
9.1104 -1.9411 0.0000
9.1104 1.9411 0.0000
-1.7946 0.0000 8.3248
C I Ho Cl Dy
1 3 2 2 2
direct
0.5000 0.5000 0.0000
0.5000 0.5000 0.5000
0.1707 0.1707 0.3328
0.8293 0.8293 0.6672
0.6327 0.6327 0.0560
0.3673 0.3673 0.9440
0.8402 0.8402 0.1503
0.1598 0.1598 0.8497
0.9987 0.9987 0.1907
0.0013 0.0013 0.8093
```

* total DFT energy (no corrections): -49.08 eV per cell
* mass density: 6.308 g cm⁻³
* E above lowest polymorph: 1.7 kJ/mol of atoms
* size of the total moment: 0.33 μB per cell